Record 1
## ZnReRu2 (PBE)

Data for crystalline ZnReRu2 at its relaxed geometry. Values from VASP.

Structure (Quantum ESPRESSO input):
```
&SYSTEM
  ibrav = 0, nat = 4, ntyp = 3
/
ATOMIC_SPECIES
Re 186.21 Re.upf
Zn 65.41 Zn.upf
Ru 101.07 Ru.upf
CELL_PARAMETERS angstrom
4.6098 0.0276 0.0000
-1.2081 4.4487 0.0000
0.0000 0.0000 2.7819
ATOMIC_POSITIONS angstrom
Re -0.6041 2.2244 1.3910
Zn 2.3049 0.0138 1.3910
Ru 1.7008 2.2382 0.0000
Ru 0.0000 0.0000 0.0000
```

Density of states at the Fermi level ... 5.82 states/eV/f.u.
Energy relative to the elements ... 0.1926 eV/atom
Symmetry ... No. 65



Record 2
## ZnRe2Ru2 (PBE)

Data for crystalline ZnRe2Ru2 at its relaxed geometry. Values from VASP.

Structure (Quantum ESPRESSO input):
```
&SYSTEM
  ibrav = 0, nat = 10, ntyp = 3
/
ATOMIC_SPECIES
Re 186.21 Re.upf
Ru 101.07 Ru.upf
Zn 65.41 Zn.upf
CELL_PARAMETERS angstrom
-3.9894 -6.2538 -1.5398
6.0750 -3.0523 -3.3427
0.7751 -1.0853 2.3998
ATOMIC_POSITIONS angstrom
Re 1.8054 -1.9181 -1.4506
Re 3.8250 -5.0400 -3.5149
Re 0.2802 -7.3880 -3.4318
Re -1.7394 -4.2661 -1.3676
Ru -0.9127 -6.7681 -1.1957
Ru 2.7867 -7.2567 -2.6115
Ru 3.7734 -3.6233 -1.2870
Ru 0.0740 -3.1348 0.1288
Zn 1.0428 -4.6531 -2.4412
Zn 0.0000 0.0000 0.0000
```

Density of states at the Fermi level ... 2.93 states/eV/f.u.
Energy relative to the elements ... 0.2608 eV/atom
Excess energy over the best structure of this formula in the dataset ... 0.00 kJ/mol of atoms
Symmetry ... No. 127



Record 3
## ZnRe3Ru (PBE)

Data for crystalline ZnRe3Ru at its relaxed geometry. Values from VASP.

Structure (Quantum ESPRESSO input):
```
&SYSTEM
  ibrav = 0, nat = 5, ntyp = 3
/
ATOMIC_SPECIES
Zn 65.41 Zn.upf
Re 186.21 Re.upf
Ru 101.07 Ru.upf
CELL_PARAMETERS angstrom
-1.8175 -4.0177 0.1635
0.6359 -0.1101 4.3652
-3.9704 1.8215 0.6244
ATOMIC_POSITIONS angstrom
Zn 0.0000 0.0000 0.0000
Re 0.3180 -0.0550 2.1826
Re -0.9088 -2.0088 0.0817
Re -1.9852 0.9108 0.3122
Ru -2.5760 -1.1531 2.5765
```

Density of states at the Fermi level ... 4.21 states/eV/f.u.
Energy relative to the elements ... 2.1256 eV/atom
Excess energy over the best structure of this formula in the dataset ... 0.00 kJ/mol of atoms
Symmetry ... No. 221



Record 4
## ZnReRu2 (PBE)

Data for crystalline ZnReRu2 at its relaxed geometry. Values from VASP.

Structure (Quantum ESPRESSO input):
```
&SYSTEM
  ibrav = 0, nat = 4, ntyp = 3
/
ATOMIC_SPECIES
Ru 101.07 Ru.upf
Zn 65.41 Zn.upf
Re 186.21 Re.upf
CELL_PARAMETERS angstrom
-0.8741 0.6970 -2.4442
-1.3591 -1.9570 1.2439
-5.4480 6.1337 3.6974
ATOMIC_POSITIONS angstrom
Ru -5.4462 6.1317 3.6962
Ru -2.4827 0.9081 0.3270
Zn -2.6998 3.0396 1.8323
Re -5.2245 3.9950 2.1878
```

Density of states at the Fermi level ... 4.59 states/eV/f.u.
Energy relative to the elements ... 0.3255 eV/atom
Symmetry ... No. 35



Record 5
## ZnRe2Ru2 (PBE)

Data for crystalline ZnRe2Ru2 at its relaxed geometry. Values from VASP.

Structure (Quantum ESPRESSO input):
```
&SYSTEM
  ibrav = 0, nat = 10, ntyp = 3
/
ATOMIC_SPECIES
Ru 101.07 Ru.upf
Zn 65.41 Zn.upf
Re 186.21 Re.upf
CELL_PARAMETERS angstrom
-6.7981 3.2335 -0.4996
-3.2293 -6.4456 2.2239
0.1912 0.8057 2.6129
ATOMIC_POSITIONS angstrom
Ru -5.3534 -4.4204 1.7548
Ru -7.9590 -1.2199 0.9586
Ru -4.6740 1.2083 -0.0306
Ru -2.0684 -1.9921 0.7657
Zn 0.0000 0.0000 0.0000
Zn -5.0137 -1.6060 0.8621
Re -7.1208 -2.8311 2.8317
Re -3.1713 -3.3492 2.7025
Re -6.6649 0.9428 1.6346
Re -2.7154 0.4248 1.5054
```

Density of states at the Fermi level ... 3.22 states/eV/f.u.
Energy relative to the elements ... 0.2722 eV/atom
Excess energy over the best structure of this formula in the dataset ... 1.11 kJ/mol of atoms
Symmetry ... No. 127



Record 6
## ZnReRu3 (PBE)

Data for crystalline ZnReRu3 at its relaxed geometry. Values from VASP.

Structure (Quantum ESPRESSO input):
```
&SYSTEM
  ibrav = 0, nat = 5, ntyp = 3
/
ATOMIC_SPECIES
Ru 101.07 Ru.upf
Zn 65.41 Zn.upf
Re 186.21 Re.upf
CELL_PARAMETERS angstrom
4.3688 0.0000 0.0000
0.0000 4.3688 0.0000
0.0000 0.0000 4.3688
ATOMIC_POSITIONS angstrom
Ru 2.1844 0.0000 0.0000
Ru 0.0000 2.1844 0.0000
Ru 0.0000 0.0000 2.1844
Zn 0.0000 0.0000 0.0000
Re 2.1844 2.1844 2.1844
```

Density of states at the Fermi level ... 6.62 states/eV/f.u.
Energy relative to the elements ... 1.8026 eV/atom
Excess energy over the best structure of this formula in the dataset ... 22.33 kJ/mol of atoms
Symmetry ... No. 221



Record 7
## ZnRe2Ru2 (PBE)

Data for crystalline ZnRe2Ru2 at its relaxed geometry. Values from VASP.

Structure (Quantum ESPRESSO input):
```
&SYSTEM
  ibrav = 0, nat = 5, ntyp = 3
/
ATOMIC_SPECIES
Ru 101.07 Ru.upf
Re 186.21 Re.upf
Zn 65.41 Zn.upf
CELL_PARAMETERS angstrom
-1.4126 3.2967 1.1918
1.1709 -0.7674 3.5106
5.0047 3.8729 1.2118
ATOMIC_POSITIONS angstrom
Ru 3.8379 4.6053 3.7955
Ru 0.9251 1.7970 2.1187
Re 1.7356 4.2172 2.3774
Re 3.0274 2.1851 3.5368
Zn 0.0000 0.0000 0.0000
```

Density of states at the Fermi level ... 4.62 states/eV/f.u.
Energy relative to the elements ... 0.5026 eV/atom
Excess energy over the best structure of this formula in the dataset ... 23.34 kJ/mol of atoms
Symmetry ... No. 139



Record 8
## ZnReRu2 (PBE)

Data for crystalline ZnReRu2 at its relaxed geometry. Values from VASP.

Structure (Quantum ESPRESSO input):
```
&SYSTEM
  ibrav = 0, nat = 4, ntyp = 3
/
ATOMIC_SPECIES
Zn 65.41 Zn.upf
Ru 101.07 Ru.upf
Re 186.21 Re.upf
CELL_PARAMETERS angstrom
-0.6946 -3.8113 0.8805
2.6996 -0.5338 -0.1809
3.2365 0.5360 4.8730
ATOMIC_POSITIONS angstrom
Zn 2.9613 -0.0123 2.2830
Ru 1.1513 -1.8782 1.7415
Ru 3.2280 0.5199 4.7968
Re 4.1055 -1.9016 3.9704
```

Density of states at the Fermi level ... 2.70 states/eV/f.u.
Energy relative to the elements ... 0.1041 eV/atom
Symmetry ... No. 6



Record 9
## ZrZn2ReRu (PBE)

Data for crystalline ZrZn2ReRu at its relaxed geometry. Values from VASP.

Structure (Quantum ESPRESSO input):
```
&SYSTEM
  ibrav = 0, nat = 5, ntyp = 4
/
ATOMIC_SPECIES
Ru 101.07 Ru.upf
Zn 65.41 Zn.upf
Zr 91.22 Zr.upf
Re 186.21 Re.upf
CELL_PARAMETERS angstrom
-1.9092 0.3106 4.2491
-0.3829 -4.8148 0.1799
4.2444 -0.2655 1.9265
ATOMIC_POSITIONS angstrom
Ru 0.0000 0.0000 0.0000
Zn 2.1222 -0.1328 0.9632
Zn -0.9546 0.1553 2.1246
Zr -0.1914 -2.4074 0.0900
Re 0.9761 -2.3849 3.1777
```

Density of states at the Fermi level ... 2.79 states/eV/f.u.
Energy relative to the elements ... 1.1263 eV/atom
Symmetry ... No. 123



Record 10
## Zr2ReRu (PBE)

Data for crystalline Zr2ReRu at its relaxed geometry. Values from VASP.

Structure (Quantum ESPRESSO input):
```
&SYSTEM
  ibrav = 0, nat = 4, ntyp = 3
/
ATOMIC_SPECIES
Ru 101.07 Ru.upf
Re 186.21 Re.upf
Zr 91.22 Zr.upf
CELL_PARAMETERS angstrom
-4.4072 -7.0132 2.0327
-1.4203 -8.0597 2.4012
-2.8554 -6.4733 4.7628
ATOMIC_POSITIONS angstrom
Ru -6.5122 -16.1596 6.8975
Re -2.1707 -5.3865 2.2992
Zr -0.0075 -0.0187 0.0080
Zr -4.3339 -10.7544 4.5904
```

Density of states at the Fermi level ... 2.59 states/eV/f.u.
Energy relative to the elements ... -0.0260 eV/atom
Symmetry ... No. 166



Record 11
## Zr2ReRu (PBE)

Data for crystalline Zr2ReRu at its relaxed geometry. Values from VASP.

Structure (Quantum ESPRESSO input):
```
&SYSTEM
  ibrav = 0, nat = 4, ntyp = 3
/
ATOMIC_SPECIES
Ru 101.07 Ru.upf
Re 186.21 Re.upf
Zr 91.22 Zr.upf
CELL_PARAMETERS angstrom
5.5567 0.0047 0.0000
2.8434 4.7741 0.0000
-4.2001 -2.3894 2.7436
ATOMIC_POSITIONS angstrom
Ru 2.7783 0.0023 1.3718
Re 4.2001 2.3894 0.0000
Zr 1.4217 2.3870 1.3718
Zr 0.0000 0.0000 0.0000
```

Density of states at the Fermi level ... 3.28 states/eV/f.u.
Energy relative to the elements ... -0.0907 eV/atom
Symmetry ... No. 119



Record 12
## Zr2ReRu (PBE)

Data for crystalline Zr2ReRu at its relaxed geometry. Values from VASP.

Structure (Quantum ESPRESSO input):
```
&SYSTEM
  ibrav = 0, nat = 4, ntyp = 3
/
ATOMIC_SPECIES
Re 186.21 Re.upf
Zr 91.22 Zr.upf
Ru 101.07 Ru.upf
CELL_PARAMETERS angstrom
-1.8583 2.3152 -0.9217
-3.3813 -2.7865 -0.1821
-1.1977 1.1128 5.2103
ATOMIC_POSITIONS angstrom
Re -0.5498 0.5109 2.3919
Zr -1.1465 1.0652 4.9875
Zr -2.9749 0.0943 0.9929
Ru -3.5626 0.6403 3.5496
```

Density of states at the Fermi level ... 3.48 states/eV/f.u.
Energy relative to the elements ... 0.0200 eV/atom
Symmetry ... No. 25



Record 13
## Zr6ReRu (PBE)

Data for crystalline Zr6ReRu at its relaxed geometry. Values from VASP.

Structure (Quantum ESPRESSO input):
```
&SYSTEM
  ibrav = 0, nat = 8, ntyp = 3
/
ATOMIC_SPECIES
Zr 91.22 Zr.upf
Ru 101.07 Ru.upf
Re 186.21 Re.upf
CELL_PARAMETERS angstrom
4.4809 0.0009 1.3470
-0.4065 4.4615 1.3495
-0.0239 -0.0228 8.1792
ATOMIC_POSITIONS angstrom
Zr 3.8311 1.7456 3.4939
Zr 0.2193 2.6940 7.3818
Zr 2.6631 0.4636 7.3805
Zr 3.0289 3.3195 6.1593
Zr 1.0216 1.1201 4.7164
Zr 1.3874 3.9760 3.4951
Ru 0.0000 0.0000 0.0000
Re 2.0372 2.2312 1.3482
```

Density of states at the Fermi level ... 9.68 states/eV/f.u.
Energy relative to the elements ... -0.2017 eV/atom
Symmetry ... No. 12



Record 14
## Zr2ReRu (PBE)

Data for crystalline Zr2ReRu at its relaxed geometry. Values from VASP.

Structure (Quantum ESPRESSO input):
```
&SYSTEM
  ibrav = 0, nat = 4, ntyp = 3
/
ATOMIC_SPECIES
Zr 91.22 Zr.upf
Ru 101.07 Ru.upf
Re 186.21 Re.upf
CELL_PARAMETERS angstrom
3.2781 0.0000 0.0000
0.0000 3.2781 0.0000
0.0000 0.0000 6.7002
ATOMIC_POSITIONS angstrom
Zr 1.6390 1.6390 1.8089
Zr 0.0000 0.0000 6.5643
Ru 1.6390 1.6390 4.9367
Re 0.0000 0.0000 3.4406
```

Density of states at the Fermi level ... 3.83 states/eV/f.u.
Energy relative to the elements ... 0.0293 eV/atom
Symmetry ... No. 99



Record 15
## Zr2ReRu (PBE)

Data for crystalline Zr2ReRu at its relaxed geometry. Values from VASP.

Structure (Quantum ESPRESSO input):
```
&SYSTEM
  ibrav = 0, nat = 4, ntyp = 3
/
ATOMIC_SPECIES
Zr 91.22 Zr.upf
Ru 101.07 Ru.upf
Re 186.21 Re.upf
CELL_PARAMETERS angstrom
-2.8065 -1.7056 -0.1649
1.2728 -2.2868 1.9909
-2.3035 3.2832 5.2439
ATOMIC_POSITIONS angstrom
Zr -1.1513 1.6410 2.6210
Zr -0.0004 0.0006 0.0010
Ru -2.4945 0.4662 4.8459
Re -1.3428 -1.1754 2.2239
```

Density of states at the Fermi level ... 4.32 states/eV/f.u.
Energy relative to the elements ... -0.4323 eV/atom
Symmetry ... No. 123